a.
First-principles (PBE) data for a relaxed structure of Sr3CaOs, as listed in the Alexandria database.

Lattice parameters (Å, degrees): 5.941 5.941 5.941 90.00 90.00 90.00
Space group Pm-3m (No. 221)
Inequivalent atoms, fractional coordinates:
1 Sr 0.000 0.000 0.500 [3 per cell]
2 Ca 0.500 0.500 0.500 [1 per cell]
3 Os 0.000 0.000 0.000 [1 per cell]

Computed properties:
Crystal system = cubic

***

b.
First-principles (PBE) data for a relaxed structure of Sr3CaOs, as listed in the Alexandria database.

Lattice parameters (Å, degrees): 5.873 5.873 5.873 90.00 90.00 90.00
Space group Pm-3m (No. 221)
Inequivalent atoms, fractional coordinates:
1 Sr 0.000 0.000 0.500 [3 per cell]
2 Ca 0.000 0.000 0.000 [1 per cell]
3 Os 0.500 0.500 0.500 [1 per cell]

Computed properties:
Crystal system = cubic

***

Q: Which of them is the most stable? A: a.

***

a.
First-principles (PBE) data for a relaxed structure of SrCaTi2Os, as listed in the Alexandria database.

Lattice parameters (Å, degrees): 4.887 4.887 5.631 90.00 90.00 90.00
Space group P4/mmm (No. 123)
Inequivalent atoms, fractional coordinates:
1 Sr 0.000 0.000 0.000 [1 per cell]
2 Ca 0.500 0.500 0.000 [1 per cell]
3 Ti 0.000 0.500 0.500 [2 per cell]
4 Os 0.500 0.500 0.500 [1 per cell]

Computed properties:
Crystal system = tetragonal

***

b.
First-principles (PBE) data for a relaxed structure of SrCaTi2Os, as listed in the Alexandria database.

Lattice parameters (Å, degrees): 4.627 4.627 5.123 90.00 90.00 90.00
Space group P4/mmm (No. 123)
Inequivalent atoms, fractional coordinates:
1 Sr 0.000 0.000 0.000 [1 per cell]
2 Ca 0.000 0.000 0.500 [1 per cell]
3 Ti 0.000 0.500 0.500 [2 per cell]
4 Os 0.500 0.500 0.000 [1 per cell]

Computed properties:
Crystal system = tetragonal

***

Q: Which of them is the most stable? A: a.

***

a.
First-principles (PBE) data for a relaxed structure of SrCaY2Os, as listed in the Alexandria database.

Lattice parameters (Å, degrees): 5.473 5.473 5.771 90.00 90.00 90.00
Space group P4/mmm (No. 123)
Inequivalent atoms, fractional coordinates:
1 Sr 0.000 0.000 0.000 [1 per cell]
2 Ca 0.500 0.500 0.000 [1 per cell]
3 Y 0.000 0.500 0.500 [2 per cell]
4 Os 0.500 0.500 0.500 [1 per cell]

Computed properties:
Crystal system = tetragonal

***

b.
First-principles (PBE) data for a relaxed structure of SrCaY2Os, as listed in the Alexandria database.

Lattice parameters (Å, degrees): 5.459 5.459 5.972 90.00 90.00 90.00
Space group P4/mmm (No. 123)
Inequivalent atoms, fractional coordinates:
1 Sr 0.000 0.000 0.000 [1 per cell]
2 Ca 0.500 0.500 0.000 [1 per cell]
3 Y 0.000 0.500 0.500 [2 per cell]
4 Os 0.000 0.000 0.500 [1 per cell]

Computed properties:
Crystal system = tetragonal

***

Q: Which of them is the most stable? A: a.

***

a.
First-principles (PBE) data for a relaxed structure of CaTa3Os, as listed in the Alexandria database.

Lattice parameters (Å, degrees): 4.946 4.946 4.946 90.00 90.00 90.00
Space group Pm-3m (No. 221)
Inequivalent atoms, fractional coordinates:
1 Ca 0.000 0.000 0.000 [1 per cell]
2 Ta 0.000 0.500 0.500 [3 per cell]
3 Os 0.500 0.500 0.500 [1 per cell]

Computed properties:
Crystal system = cubic

***

b.
First-principles (PBE) data for a relaxed structure of CaTa3Os, as listed in the Alexandria database.

Lattice parameters (Å, degrees): 4.580 4.580 4.580 90.00 90.00 90.00
Space group Pm-3m (No. 221)
Inequivalent atoms, fractional coordinates:
1 Ca 0.000 0.000 0.000 [1 per cell]
2 Ta 0.000 0.000 0.500 [3 per cell]
3 Os 0.500 0.500 0.500 [1 per cell]

Computed properties:
Crystal system = cubic

***

Q: Which of them is the most stable? A: a.

***

a.
First-principles (PBE) data for a relaxed structure of Ca2TaOs2, as listed in the Alexandria database.

Lattice parameters (Å, degrees): 8.486 8.486 2.713 90.00 90.00 90.00
Space group P4/mbm (No. 127)
Inequivalent atoms, fractional coordinates:
1 Ca 0.119 0.381 0.000 [4 per cell]
2 Ta 0.000 0.000 0.000 [2 per cell]
3 Os 0.184 0.684 0.500 [4 per cell]

Computed properties:
Crystal system = tetragonal

***

b.
First-principles (PBE) data for a relaxed structure of Ca2TaOs2, as listed in the Alexandria database.

Lattice parameters (Å, degrees): 3.464 3.464 20.260 90.00 90.00 90.00
Space group I4/mmm (No. 139)
Inequivalent atoms, fractional coordinates:
1 Ca 0.000 0.000 0.118 [4 per cell]
2 Ta 0.000 0.000 0.500 [2 per cell]
3 Os 0.000 0.500 0.250 [4 per cell]

Computed properties:
Crystal system = tetragonal

***

Q: Which of them is the most stable? A: b.

***

a.
First-principles (PBE) data for a relaxed structure of CaTaOs, as listed in the Alexandria database.

Lattice parameters (Å, degrees): 3.259 3.259 12.204 90.00 90.00 90.00
Space group I4mm (No. 107)
Inequivalent atoms, fractional coordinates:
1 Ca 0.000 0.000 0.000 [2 per cell]
2 Ta 0.000 0.000 0.280 [2 per cell]
3 Os 0.000 0.000 0.679 [2 per cell]

Computed properties:
Crystal system = tetragonal

***

b.
First-principles (PBE) data for a relaxed structure of CaTaOs, as listed in the Alexandria database.

Lattice parameters (Å, degrees): 4.5904 4.5904 3.0957 90.00 90.00 120.00
Space group P3m1 (No. 156)
Inequivalent atoms, fractional coordinates:
1 Ca 0.0000 0.0000 0.0000 [1 per cell]
2 Ta 0.6667 0.3333 0.6027 [1 per cell]
3 Os 0.3333 0.6667 0.3696 [1 per cell]

Computed properties:
Crystal system = trigonal

***

Q: Which of them is the most stable? A: a.

***

a.
First-principles (PBE) data for a relaxed structure of CaTa2Os2, as listed in the Alexandria database.

Lattice parameters (Å, degrees): 7.890 7.890 3.004 90.00 90.00 90.00
Space group P4/mbm (No. 127)
Inequivalent atoms, fractional coordinates:
1 Ca 0.000 0.000 0.000 [2 per cell]
2 Ta 0.147 0.353 0.500 [4 per cell]
3 Os 0.143 0.643 0.000 [4 per cell]

Computed properties:
Crystal system = tetragonal

***

b.
First-principles (PBE) data for a relaxed structure of CaTa2Os2, as listed in the Alexandria database.

Lattice parameters (Å, degrees): 4.355 4.355 10.979 90.00 90.00 90.00
Space group I4/mmm (No. 139)
Inequivalent atoms, fractional coordinates:
1 Ca 0.000 0.000 0.000 [2 per cell]
2 Ta 0.000 0.500 0.250 [4 per cell]
3 Os 0.000 0.000 0.382 [4 per cell]

Computed properties:
Crystal system = tetragonal

***

Q: Which of them is the most stable? A: b.

***

a.
First-principles (PBE) data for a relaxed structure of CaTb2Os, as listed in the Alexandria database.

Lattice parameters (Å, degrees): 4.0967 4.0967 27.1927 90.00 90.00 120.00
Space group R-3m (No. 166, hexagonal axes)
Inequivalent atoms, fractional coordinates:
1 Ca 0.0000 0.0000 0.0000 [3 per cell]
2 Tb 0.0000 0.0000 0.2188 [6 per cell]
3 Os 0.0000 0.0000 0.5000 [3 per cell]

Computed properties:
Crystal system = trigonal

***

b.
First-principles (PBE) data for a relaxed structure of CaTb2Os, as listed in the Alexandria database.

Lattice parameters (Å, degrees): 3.437 3.437 9.760 90.00 90.00 90.00
Space group P4/mmm (No. 123)
Inequivalent atoms, fractional coordinates:
1 Ca 0.000 0.000 0.000 [1 per cell]
2 Tb 0.500 0.500 0.330 [2 per cell]
3 Os 0.000 0.000 0.500 [1 per cell]

Computed properties:
Crystal system = tetragonal

***

Q: Which of them is the most stable? A: b.